[1]
DFT (PBE) results for a geometry-optimized SmAlPO structure.

```
SmAlPO
1.0
3.9758 0.0000 0.0000
0.0000 4.5966 0.0000
0.0000 0.0000 6.8938
Sm Al P O
2 2 2 2
direct
0.0000 0.1733 0.0000
0.0000 0.8267 0.5000
0.5000 0.3311 0.3482
0.5000 0.6689 0.8482
0.5000 0.1758 0.6926
0.5000 0.8242 0.1926
0.0000 0.3302 0.3481
0.0000 0.6698 0.8481
```

Results
- VASP energy: -6.407 eV per atom

---

[2]
DFT (PBE) results for a geometry-optimized TaAlPO structure.

```
TaAlPO
1.0
3.1780 0.0000 0.0000
0.0000 5.4815 0.0000
0.0000 0.0000 6.2735
Ta Al P O
2 2 2 2
direct
0.0000 0.0930 0.0000
0.0000 0.9070 0.5000
0.5000 0.4336 0.3825
0.5000 0.5664 0.8825
0.5000 0.1872 0.7017
0.5000 0.8128 0.2017
0.0000 0.2668 0.3056
0.0000 0.7332 0.8056
```

Results
- VASP energy: -7.618 eV per atom

---

| no. | offset from the most stable computed form (eV per atom) |
| --- | --- |
| 1 | 0.000 |
| 2 | 0.139 |